Compound: PmNpCl6
Source: Alexandria via LeMat-Bulk
Functional: PBE
Structure: optimized geometry

Unit cell a=7.0772 b=7.0772 c=6.8015 alpha=97.51 beta=97.51 gamma=121.33
With the nearest neighbours (Å) after each atom.
Atoms (fractional coordinates):
Pm  0.0000  0.0000  0.0000  6 Cl 2.73-2.74
Np  0.5000  0.5000  0.5000  6 Cl 2.74-2.75
Cl  0.1049  0.3954  0.2485  1 Pm 2.74, 1 Np 2.75
Cl  0.2446  0.2446  0.7449  1 Pm 2.73, 1 Np 2.74
Cl  0.3954  0.1049  0.2485  1 Pm 2.74, 1 Np 2.75
Cl  0.6046  0.8951  0.7515  1 Pm 2.74, 1 Np 2.75
Cl  0.7554  0.7554  0.2551  1 Pm 2.73, 1 Np 2.74
Cl  0.8951  0.6046  0.7515  1 Pm 2.74, 1 Np 2.75

Output
Its energy above the most stable polymorph in this dataset is 0 meV per atom. The formation energy without anion corrections is -1965 meV per atom. The volume comes out at 280 Å³ per cell. The calculation puts the magnetic moment at 0.50 μB/atom. The crystal system is monoclinic.